1.
BaGe2Au5 after structural relaxation. Source: the Alexandria database, functional PBE-GGA.

Summary:
total DFT energy (no corrections): -3.77 eV/atom
total moment: 0.0 μB/f.u.
theoretical density: 11.87 g/cm3
energy of formation: -323 meV per atom
polymorph energy (0 for the lowest one): 0.042 eV per atom

Lattice parameters (Å, degrees): 4.6666 6.7605 6.7605 65.75 69.81 69.81
Fractional positions:
Au 0.6428 0.5492 0.1652
Au 0.6428 0.1652 0.5492
Ge 0.7550 0.7450 0.7450
Ge 0.2450 0.2550 0.2550
Au 0.3572 0.8348 0.4508
Au 0.3572 0.4508 0.8348
Au 0.0000 0.5000 0.5000
Ba 0.0000 0.0000 0.0000

2.
BaGe12Au4 after structural relaxation. Source: the Alexandria database, functional PBE-GGA.

Summary:
total DFT energy (no corrections): -4.27 eV/atom
total moment: 0.0 μB/f.u.
theoretical density: 8.30 g/cm3
energy of formation: -123 meV per atom

Lattice parameters (Å, degrees): 7.7574 7.7574 7.7574 109.47 109.47 109.47
Fractional positions:
Ge 0.2132 0.8526 0.3606
Ge 0.1474 0.6394 0.7868
Ge 0.3606 0.5080 0.1474
Ge 0.7868 0.1474 0.6394
Ge 0.1474 0.3606 0.5080
Ge 0.3606 0.2132 0.8526
Ba 0.0000 0.0000 0.0000
Ge 0.6394 0.7868 0.1474
Au 0.0000 0.0000 0.5000
Ge 0.8526 0.3606 0.2132
Ge 0.8526 0.6394 0.4920
Ge 0.4920 0.8526 0.6394
Au 0.5000 0.0000 0.0000
Au 0.5000 0.5000 0.5000
Au 0.0000 0.5000 0.0000
Ge 0.5080 0.1474 0.3606
Ge 0.6394 0.4920 0.8526

3.
BaGe4Au2 after structural relaxation. Source: the Alexandria database, functional PBE-GGA.

Summary:
total DFT energy (no corrections): -4.09 eV/atom
total moment: 0.0 μB/f.u.
theoretical density: 7.47 g/cm3
energy of formation: -244 meV per atom

Lattice parameters (Å, degrees): 8.1711 6.2473 6.2465 64.76 49.20 49.19
Fractional positions:
Au 0.2500 0.5000 0.4999
Ba 0.5000 0.0000 0.0000
Ge 0.2670 0.7332 0.7330
Ge 0.0000 0.2669 0.7333
Ge 0.0000 0.7331 0.2667
Au 0.7500 0.5000 0.5001
Ge 0.7330 0.2668 0.2670

4.
Ba3Ge2Au4 after structural relaxation. Source: the Alexandria database, functional PBE-GGA.

Summary:
total DFT energy (no corrections): -3.78 eV/atom
total moment: 0.0 μB/f.u.
theoretical density: 8.48 g/cm3
energy of formation: -656 meV per atom

Lattice parameters (Å, degrees): 4.6511 6.6059 9.3055 99.49 90.00 110.61
Fractional positions:
Ba 0.0000 0.0000 0.0000
Au 0.0572 0.1143 0.3802
Ba 0.6688 0.3377 0.6683
Au 0.7151 0.4303 0.0695
Ge 0.6043 0.2086 0.2865
Au 0.9428 0.8857 0.6198
Au 0.2849 0.5697 0.9305
Ge 0.3957 0.7914 0.7135
Ba 0.3312 0.6623 0.3317

5.
Ba3Ge9Au2 after structural relaxation. Source: the Alexandria database, functional PBE-GGA.

Summary:
total DFT energy (no corrections): -4.13 eV/atom
total moment: 0.0 μB/f.u.
theoretical density: 7.01 g/cm3
energy of formation: -281 meV per atom

Lattice parameters (Å, degrees): 4.3632 9.2652 9.2652 75.25 76.38 76.38
Fractional positions:
Au 0.5000 0.3280 0.6720
Ge 0.8402 0.8685 0.4511
Ge 0.3595 0.3052 0.9759
Ge 0.8402 0.4511 0.8685
Ge 0.0000 0.5000 0.5000
Ge 0.3595 0.9759 0.3052
Ge 0.6405 0.0241 0.6948
Ge 0.1598 0.5489 0.1315
Ge 0.6405 0.6948 0.0241
Ba 0.7070 0.2930 0.2930
Ba 0.2930 0.7070 0.7070
Au 0.5000 0.6720 0.3280
Ba 0.0000 0.0000 0.0000
Ge 0.1598 0.1315 0.5489

6.
Ba2Ge7Au12 after structural relaxation. Source: the Alexandria database, functional PBE-GGA.

Summary:
total DFT energy (no corrections): -3.84 eV/atom
total moment: 0.0 μB/f.u.
theoretical density: 11.72 g/cm3
energy of formation: -248 meV per atom

Lattice parameters (Å, degrees): 4.8496 10.3053 10.3052 120.00 90.00 90.00
Fractional positions:
Au 0.8157 0.8760 0.7461
Au 0.2347 0.4483 0.3909
Au 0.2347 0.6091 0.0574
Ba 0.7659 0.6667 0.3333
Au 0.2347 0.9426 0.5517
Ge 0.3103 0.3854 0.1052
Au 0.7653 0.5517 0.6091
Ba 0.2341 0.3333 0.6667
Au 0.8157 0.2539 0.1299
Au 0.7653 0.0574 0.4483
Ge 0.3103 0.7198 0.6146
Au 0.7653 0.3909 0.9426
Au 0.1843 0.1240 0.2539
Au 0.1843 0.7461 0.8701
Ge 0.3103 0.8948 0.2802
Au 0.8157 0.8701 0.1240
Au 0.1843 0.1299 0.8760
Ge 0.5000 0.0000 0.0000
Ge 0.6897 0.6146 0.8948
Ge 0.6897 0.1052 0.7198
Ge 0.6897 0.2802 0.3854

Question: What is the formula in the sixth record?
Answer: Ba2Ge7Au12

Question: Which value of total DFT energy (no corrections) does entry 1 give?
Answer: -3.77 eV/atom